No. 1
Material: Pm6Sm12Ho
Method: DFT, PBE
State: optimized geometry

The energy of formation comes out at 137 meV/atom. The crystal system is trigonal. The calculation puts the energy above the most stable polymorph in this dataset at 0.00 kcal/mol of atoms. The calculation puts the total energy at -87.10 eV per formula unit.

The structure belongs to space group R-3 (No. 148, hexagonal axes); the cell edges are 12.1831, 12.1831 and 15.2621 Å and the angles 90.00°, 90.00° and 120.00°. The inequivalent atoms are Pm at (0.0127, 0.4228, 0.1843), Sm at (0.0053, 0.8316, 0.6903), Sm at (0.0468, 0.8523, 0.9163) and Ho at (0.0000, 0.0000, 0.5000).



No. 2
Material: Tb2Sc3Ni4
Method: DFT, PBE
State: optimized geometry

The energy of formation comes out at -429 meV/atom. The crystal system is monoclinic. The calculation puts the total energy at -55.24 eV per formula unit.

The structure belongs to space group P2_1/c (No. 14); the cell edges are 6.9931, 6.9941 and 7.3729 Å and the angles 90.00°, 108.33° and 90.00°. The inequivalent atoms are Tb at (0.1970, 0.1740, 0.0861), Sc at (0.2452, 0.6669, 0.2491), Sc at (0.5000, 0.0000, 0.5000), Ni at (0.0883, 0.5395, 0.8777) and Ni at (0.4971, 0.6266, 0.6174).



No. 3
Material: GaAgAsAuCl
Method: DFT, PBE
State: optimized geometry

The crystal system is trigonal. The calculation puts the energy above the most stable polymorph in this dataset at 1.27 kcal/mol of atoms. The formation energy without anion corrections is -125 meV per atom. The calculation puts the total energy at -16.28 eV per formula unit.

The structure belongs to space group P3m1 (No. 156); the cell edges are 4.3208, 4.3208 and 7.4194 Å and the angles 90.00°, 90.00° and 120.00°. The inequivalent atoms are Ga at (0.0000, 0.0000, 0.0000), Ag at (0.3333, 0.6667, 0.5241), As at (0.3333, 0.6667, 0.8888), Au at (0.6667, 0.3333, 0.7342) and Cl at (0.0000, 0.0000, 0.3422).



No. 4
Material: Tm2GaCo5Si2
Method: DFT, PBE
State: optimized geometry

The crystal system is tetragonal. The formation energy without anion corrections is -479 meV per atom. The calculation puts the total energy at -63.14 eV per formula unit.

The structure belongs to space group P4/mbm (No. 127); the cell edges are 9.2937, 9.2937 and 3.2661 Å and the angles 90.00°, 90.00° and 90.00°. The inequivalent atoms are Tm at (0.1771, 0.3229, 0.0000), Ga at (0.0000, 0.0000, 0.0000), Co at (0.0000, 0.5000, 0.5000), Co at (0.0655, 0.7856, 0.5000) and Si at (0.1197, 0.6197, 0.0000).



No. 5
Material: NaIrBr4
Method: DFT, PBE
State: optimized geometry

The crystal system is monoclinic. The formation energy without anion corrections is -650 meV per atom. The calculation puts the total energy at -20.77 eV per formula unit.

The structure belongs to space group C2/m (No. 12); the cell edges are 12.6474, 3.8364 and 7.3944 Å and the angles 90.00°, 101.17° and 90.00°. The inequivalent atoms are Na at (0.0000, 0.0000, 0.0000), Ir at (0.0000, 0.5000, 0.5000), Br at (0.1107, 0.0000, 0.4125) and Br at (0.1179, 0.5000, 0.8176).



No. 6
Material: Al2CdTe
Method: DFT, PBE
State: optimized geometry

The crystal system is trigonal. The calculation puts the energy above the most stable polymorph in this dataset at 5.58 kcal/mol of atoms. The formation energy without anion corrections is 270 meV per atom. The calculation puts the total energy at -10.46 eV per formula unit.

The structure belongs to space group R-3m (No. 166, hexagonal axes); the cell edges are 3.1230, 3.1230 and 31.3136 Å and the angles 90.00°, 90.00° and 120.00°. The inequivalent atoms are Al at (0.0000, 0.0000, 0.2456), Cd at (0.0000, 0.0000, 0.5000) and Te at (0.0000, 0.0000, 0.0000).



No. 7
Material: CaAsBr2F
Method: DFT, PBE
State: optimized geometry

The crystal system is tetragonal. The calculation puts the energy above the most stable polymorph in this dataset at 9.84 kcal/mol of atoms. The formation energy without anion corrections is -430 meV per atom. The calculation puts the total energy at -14.02 eV per formula unit.

The structure belongs to space group P4/mmm (No. 123); the cell edges are 5.4343, 5.4343 and 7.4637 Å and the angles 90.00°, 90.00° and 90.00°. The inequivalent atoms are Ca at (0.0000, 0.0000, 0.0000), As at (0.0000, 0.0000, 0.5000), Br at (0.0000, 0.5000, 0.0000) and F at (0.5000, 0.5000, 0.5000).



No. 8
Material: PmDyErCu
Method: DFT, PBE
State: optimized geometry

The energy of formation comes out at -107 meV/atom. The crystal system is tetragonal. The calculation puts the total energy at -18.44 eV per formula unit.

The structure belongs to space group P4mm (No. 99); the cell edges are 3.5036, 3.5036 and 8.6793 Å and the angles 90.00°, 90.00° and 90.00°. The inequivalent atoms are Pm at (0.0000, 0.0000, 0.0000), Dy at (0.5000, 0.5000, 0.6914), Er at (0.5000, 0.5000, 0.3055) and Cu at (0.0000, 0.0000, 0.4929).



No. 9
Material: SrMoOs2
Method: DFT, PBE
State: optimized geometry

The energy of formation comes out at 684 meV/atom. The crystal system is orthorhombic. The calculation puts the energy above the most stable polymorph in this dataset at 4.09 kcal/mol of atoms. The calculation puts the total energy at -32.24 eV per formula unit.

The structure belongs to space group Pmm2 (No. 25); the cell edges are 2.8084, 3.7453 and 7.6090 Å and the angles 90.00°, 90.00° and 90.00°. The inequivalent atoms are Sr at (0.0000, 0.0000, 0.0000), Mo at (0.5000, 0.5000, 0.3412), Os at (0.0000, 0.0000, 0.5359) and Os at (0.5000, 0.5000, 0.6851).



No. 10
Material: GePIr3
Method: DFT, PBE
State: optimized geometry

The energy of formation comes out at 1432 meV/atom. The crystal system is cubic. The calculation puts the energy above the most stable polymorph in this dataset at 19.56 kcal/mol of atoms. The calculation puts the total energy at -29.45 eV per formula unit.

The structure belongs to space group Pm-3m (No. 221); the cell edges are 4.5588, 4.5588 and 4.5588 Å and the angles 90.00°, 90.00° and 90.00°. The inequivalent atoms are Ge at (0.0000, 0.0000, 0.0000), P at (0.5000, 0.5000, 0.5000) and Ir at (0.0000, 0.0000, 0.5000).



No. 11
Material: NaPrDy2Se4
Method: DFT, PBE
State: optimized geometry

The crystal system is monoclinic. The formation energy without anion corrections is -1751 meV per atom. The calculation puts the total energy at -43.25 eV per formula unit.

The structure belongs to space group P2/m (No. 10); the cell edges are 7.2104, 4.1188 and 7.2594 Å and the angles 90.00°, 108.87° and 90.00°. The inequivalent atoms are Na at (0.0000, 0.0000, 0.0000), Pr at (0.5000, 0.5000, 0.0000), Dy at (0.0000, 0.5000, 0.5000), Dy at (0.5000, 0.0000, 0.5000), Se at (0.2410, 0.0000, 0.7378) and Se at (0.2521, 0.5000, 0.2627).



No. 12
Material: RbBaGe3
Method: DFT, PBE
State: optimized geometry

The energy of formation comes out at 905 meV/atom. The crystal system is cubic. The calculation puts the energy above the most stable polymorph in this dataset at 2.77 kcal/mol of atoms. The calculation puts the total energy at -12.22 eV per formula unit.

The structure belongs to space group Pm-3m (No. 221); the cell edges are 5.7330, 5.7330 and 5.7330 Å and the angles 90.00°, 90.00° and 90.00°. The inequivalent atoms are Rb at (0.0000, 0.0000, 0.0000), Ba at (0.5000, 0.5000, 0.5000) and Ge at (0.0000, 0.0000, 0.5000).